Entry from the Alexandria database: crystalline Pr3Nd5 at its relaxed geometry (PBE).

Calculated values
**Calculated volume**: 35.57 A^3/atom
**Magnetization**: 0.0 μB per formula unit
**Energy relative to the elements**: 0.085 eV/atom
**Polymorph energy (0 for the lowest one)**: 73 meV/atom
**Density**: 6675 kg/m³

a = 9.0118 Å, b = 9.0118 Å, c = 9.4723 Å
α = 118.40°, β = 118.40°, γ = 90.00°
Sites, in units of the cell vectors:
Pr 0.7500 0.7500 0.5000
Pr 0.2500 0.2500 0.5000
Pr 0.1458 0.6458 0.0000
Pr 0.8542 0.3542 0.0000
Pr 0.3542 0.1458 0.0000
Pr 0.6458 0.8542 0.0000
Nd 0.0000 0.0000 0.0000
Nd 0.5000 0.5000 0.0000
Nd 0.4878 0.9878 0.6731
Nd 0.1854 0.6854 0.6731
Nd 0.6854 0.4878 0.6731
Nd 0.9878 0.1854 0.6731
Nd 0.5122 0.0122 0.3269
Nd 0.8146 0.3146 0.3269
Nd 0.3146 0.5122 0.3269
Nd 0.0122 0.8146 0.3269